No. 1
A plane-wave DFT calculation with PBE was carried out for Zn2ReRh after structural relaxation.

Calculated values
The space group is Pmmm. For the density of states at the Fermi level, the calculation gives 0.8350 states/eV per atom. Its calculated density is 12.0 g cm⁻³.

Unit cell a=2.7809 b=4.6597 c=4.4762 alpha=90.00 beta=90.00 gamma=90.00
Closest atoms and distances in Å follow each position.
Element x y z (fractional)
Rh: 0.0000 0.5000 0.5000  4 Zn 2.63, 4 Re 2.71, 2 Rh 2.78
Re: 0.5000 0.0000 0.5000  4 Zn 2.63, 4 Rh 2.71, 2 Re 2.78
Zn: 0.0000 0.0000 0.0000  4 Re 2.63, 6 Zn 2.71-2.78
Zn: 0.5000 0.5000 0.0000  4 Rh 2.63, 6 Zn 2.71-2.78

---

No. 2
A plane-wave DFT calculation with PBE was carried out for Zn2ReRh after structural relaxation.

Calculated values
The space group is C2/m. For the density of states at the Fermi level, the calculation gives 0.8485 states/eV per atom. Its calculated density is 12.2 g cm⁻³.

Unit cell a=4.6135 b=4.6135 c=4.8397 alpha=80.19 beta=80.19 gamma=34.43
Closest atoms and distances in Å follow each position.
Element x y z (fractional)
Rh: 0.2500 0.2500 0.2500  6 Zn 2.67-2.71, 2 Rh 2.73, 4 Re 2.78
Re: 0.7500 0.7500 0.7500  6 Zn 2.69-2.71, 2 Re 2.73, 4 Rh 2.78
Zn: 0.5025 0.5025 0.4964  3 Rh 2.67-2.71, 3 Re 2.69-2.71, 6 Zn 2.73-2.80
Zn: 0.9975 0.9975 0.0036  3 Rh 2.67-2.71, 3 Re 2.69-2.71, 6 Zn 2.73-2.80

---

No. 3
A plane-wave DFT calculation with PBE was carried out for Zn2ReRh after structural relaxation.

Calculated values
The space group is Pmm2. For the density of states at the Fermi level, the calculation gives 0.5619 states/eV per atom. Its calculated density is 12.2 g cm⁻³.

Unit cell a=3.7927 b=2.7552 c=6.1415 alpha=63.35 beta=90.00 gamma=90.00
Closest atoms and distances in Å follow each position.
Element x y z (fractional)
Zn: 0.5000 0.2592 0.2415  6 Zn 2.67-2.76, 2 Rh 2.72-2.77, 4 Re 2.78
Zn: 0.0000 0.9906 0.0086  6 Zn 2.67-2.76, 2 Re 2.72-2.77, 4 Rh 2.77-2.78
Re: 0.0000 0.4876 0.5124  4 Rh 2.65, 6 Zn 2.72-2.78, 2 Re 2.76
Rh: 0.5000 0.7626 0.7375  4 Re 2.65, 6 Zn 2.72-2.78, 2 Rh 2.76

---

No. 4
A plane-wave DFT calculation with PBE was carried out for ZnRe2Rh after structural relaxation.

Calculated values
The space group is Cmm2. For the density of states at the Fermi level, the calculation gives 0.5900 states/eV per atom. Its calculated density is 15.2 g cm⁻³.

Unit cell a=2.7099 b=2.7099 c=8.9439 alpha=90.00 beta=90.00 gamma=115.61
Closest atoms and distances in Å follow each position.
Element x y z (fractional)
Re: 0.0000 0.0000 0.0025  8 Re 2.63-2.89, 2 Zn 2.72
Re: 0.5000 0.5000 0.2487  8 Re 2.63-2.89, 2 Rh 2.71
Zn: 0.5000 0.5000 0.7443  2 Rh 2.59, 6 Zn 2.71-2.89, 2 Re 2.72
Rh: 0.0000 0.0000 0.5045  2 Zn 2.59, 2 Re 2.71, 6 Rh 2.71-2.89

---

No. 5
A plane-wave DFT calculation with PBE was carried out for Zn2ReRh after structural relaxation.

Calculated values
The space group is Cm. For the density of states at the Fermi level, the calculation gives 0.6174 states/eV per atom. Its calculated density is 12.2 g cm⁻³.

Unit cell a=4.6656 b=4.6656 c=4.7401 alpha=82.18 beta=82.18 gamma=34.12
Closest atoms and distances in Å follow each position.
Element x y z (fractional)
Zn: 0.9975 0.9975 0.9842  5 Zn 2.56-2.74, 4 Re 2.73-2.74, 3 Rh 2.77-2.80
Zn: 0.7517 0.7517 0.7651  5 Zn 2.56-2.74, 4 Rh 2.72-2.75, 3 Re 2.75-2.80
Re: 0.5033 0.5033 0.4811  3 Rh 2.62-2.65, 7 Zn 2.73-2.80, 2 Re 2.74
Rh: 0.2475 0.2475 0.2697  3 Re 2.62-2.65, 7 Zn 2.72-2.80, 2 Rh 2.74

---

No. 6
A plane-wave DFT calculation with PBE was carried out for Zn2ReRh after structural relaxation.

Calculated values
The space group is P4/mmm. For the density of states at the Fermi level, the calculation gives 0.7154 states/eV per atom. Its calculated density is 12.4 g cm⁻³.

Unit cell a=2.9092 b=2.9092 c=6.6268 alpha=90.00 beta=90.00 gamma=90.00
Closest atoms and distances in Å follow each position.
Element x y z (fractional)
Zn: 0.0000 0.0000 0.9874  4 Rh 2.59, 4 Re 2.69
Zn: 0.0000 0.0000 0.5126  4 Rh 2.59, 4 Re 2.69
Rh: 0.5000 0.5000 0.7500  8 Zn 2.59
Re: 0.5000 0.5000 0.2500  8 Zn 2.69, 4 Re 2.91

---

No. 7
A plane-wave DFT calculation with PBE was carried out for Zn2ReRh after structural relaxation.

Calculated values
The space group is Fm-3m. For the density of states at the Fermi level, the calculation gives 0.3860 states/eV per atom. Its calculated density is 12.2 g cm⁻³.

Unit cell a=4.3185 b=4.3185 c=4.3185 alpha=60.00 beta=60.00 gamma=60.00
Closest atoms and distances in Å follow each position.
Element x y z (fractional)
Zn: 0.2500 0.2500 0.2500  4 Re 2.64, 4 Rh 2.64
Zn: 0.7500 0.7500 0.7500  4 Re 2.64, 4 Rh 2.64
Rh: 0.0000 0.0000 0.0000  8 Zn 2.64
Re: 0.5000 0.5000 0.5000  8 Zn 2.64

---

No. 8
A plane-wave DFT calculation with PBE was carried out for ZnReRh2 after structural relaxation.

Calculated values
The space group is I-4m2. For the density of states at the Fermi level, the calculation gives 0.9901 states/eV per atom. Its calculated density is 13.3 g cm⁻³.

Unit cell a=4.8322 b=4.8322 c=4.8322 alpha=134.28 beta=134.28 gamma=66.65
Closest atoms and distances in Å follow each position.
Element x y z (fractional)
Re: 0.7500 0.2500 0.5000  8 Rh 2.65-2.76, 4 Zn 2.76
Rh: 0.2500 0.7500 0.5000  4 Re 2.65, 4 Zn 2.76, 4 Rh 2.76
Rh: 0.0000 0.0000 0.0000  4 Zn 2.65, 4 Re 2.76, 4 Rh 2.76
Zn: 0.5000 0.5000 0.0000  8 Rh 2.65-2.76, 4 Re 2.76

---

No. 9
A plane-wave DFT calculation with PBE was carried out for ZnRe2Rh after structural relaxation.

Calculated values
The space group is P4/mmm. For the density of states at the Fermi level, the calculation gives 0.9639 states/eV per atom. Its calculated density is 15.4 g cm⁻³.

Unit cell a=4.3223 b=3.6768 c=3.6768 alpha=90.00 beta=90.00 gamma=90.00
Closest atoms and distances in Å follow each position.
Element x y z (fractional)
Re: 0.0000 0.5000 0.5000  4 Re 2.60, 4 Rh 2.84, 4 Zn 2.84
Re: 0.0000 0.0000 0.0000  4 Re 2.60, 4 Rh 2.84, 4 Zn 2.84
Zn: 0.5000 0.0000 0.5000  4 Rh 2.60, 8 Re 2.84
Rh: 0.5000 0.5000 0.0000  4 Zn 2.60, 8 Re 2.84

---

No. 10
A plane-wave DFT calculation with PBE was carried out for ZnReRh2 after structural relaxation.

Calculated values
The space group is Pmm2. For the density of states at the Fermi level, the calculation gives 0.7524 states/eV per atom. Its calculated density is 13.2 g cm⁻³.

Unit cell a=2.7504 b=3.9786 c=5.2465 alpha=90.00 beta=90.00 gamma=90.00
Closest atoms and distances in Å follow each position.
Element x y z (fractional)
Rh: 0.5000 0.5000 0.2754  2 Re 2.58-2.67, 4 Zn 2.65, 6 Rh 2.75-2.88
Rh: 0.0000 0.0000 0.9764  2 Zn 2.60-2.65, 4 Re 2.66, 6 Rh 2.75-2.88
Re: 0.5000 0.5000 0.7670  6 Rh 2.58-2.67, 2 Re 2.75, 4 Zn 2.85
Zn: 0.0000 0.0000 0.4812  6 Rh 2.60-2.65, 2 Zn 2.75, 4 Re 2.85

---

No. 11
A plane-wave DFT calculation with PBE was carried out for ZnReRh2 after structural relaxation.

Calculated values
The space group is Pmmm. For the density of states at the Fermi level, the calculation gives 0.7559 states/eV per atom. Its calculated density is 13.3 g cm⁻³.

Unit cell a=2.7616 b=3.7543 c=5.4910 alpha=90.00 beta=90.00 gamma=90.00
Closest atoms and distances in Å follow each position.
Element x y z (fractional)
Zn: 0.5000 0.5000 0.2500  8 Rh 2.71, 2 Re 2.75, 2 Zn 2.76
Rh: 0.0000 0.0000 0.9967  4 Re 2.70, 4 Rh 2.71-2.78, 4 Zn 2.71
Rh: 0.0000 0.0000 0.5033  4 Re 2.70, 4 Rh 2.71-2.78, 4 Zn 2.71
Re: 0.5000 0.5000 0.7500  8 Rh 2.70, 2 Zn 2.75, 2 Re 2.76

---

No. 12
A plane-wave DFT calculation with PBE was carried out for Zn2ReRh after structural relaxation.

Calculated values
The space group is P4mm. For the density of states at the Fermi level, the calculation gives 0.5174 states/eV per atom. Its calculated density is 12.1 g cm⁻³.

Unit cell a=2.7644 b=2.7644 c=7.5704 alpha=90.00 beta=90.00 gamma=90.00
Closest atoms and distances in Å follow each position.
Element x y z (fractional)
Rh: 0.5000 0.5000 0.7459  4 Re 2.65, 4 Zn 2.69, 4 Rh 2.76
Zn: 0.5000 0.5000 0.2537  4 Re 2.75, 8 Zn 2.76-2.79
Zn: 0.0000 0.0000 0.9909  4 Rh 2.69, 8 Zn 2.76-2.79
Re: 0.0000 0.0000 0.5095  4 Rh 2.65, 4 Zn 2.75, 4 Re 2.76

---

No. 13
A plane-wave DFT calculation with PBE was carried out for ZnRe2Rh after structural relaxation.

Calculated values
The space group is P2/m. For the density of states at the Fermi level, the calculation gives 0.8440 states/eV per atom. Its calculated density is 15.4 g cm⁻³.

Unit cell a=2.7387 b=4.6423 c=5.5458 alpha=55.79 beta=90.00 gamma=90.00
Closest atoms and distances in Å follow each position.
Element x y z (fractional)
Rh: 0.5000 0.5000 0.5000  4 Zn 2.69, 2 Rh 2.74, 6 Re 2.77-2.78
Zn: 0.0000 0.0000 0.5000  4 Rh 2.69, 2 Zn 2.74, 6 Re 2.77-2.78
Re: 0.0000 0.0000 0.0000  6 Re 2.69-2.74, 2 Zn 2.77, 4 Rh 2.78
Re: 0.5000 0.5000 0.0000  6 Re 2.69-2.74, 2 Rh 2.77, 4 Zn 2.78

---

No. 14
A plane-wave DFT calculation with PBE was carried out for Zn2ReRh after structural relaxation.

Calculated values
The space group is Cmmm. For the density of states at the Fermi level, the calculation gives 1.0604 states/eV per atom. Its calculated density is 12.2 g cm⁻³.

Unit cell a=4.7741 b=4.7741 c=2.6909 alpha=90.00 beta=90.00 gamma=110.86
Closest atoms and distances in Å follow each position.
Element x y z (fractional)
Zn: 0.0000 0.0000 0.0000  4 Zn 2.69-2.71, 4 Rh 2.74, 4 Re 2.74
Zn: 0.5000 0.5000 0.0000  4 Zn 2.69-2.71, 4 Re 2.74, 4 Rh 2.74
Rh: 0.0000 0.5000 0.5000  2 Rh 2.69, 2 Re 2.71, 8 Zn 2.74
Re: 0.5000 0.0000 0.5000  2 Re 2.69, 2 Rh 2.71, 8 Zn 2.74

---

No. 15
A plane-wave DFT calculation with PBE was carried out for Zn2ReRh after structural relaxation.

Calculated values
The space group is Imm2. For the density of states at the Fermi level, the calculation gives 0.9505 states/eV per atom. Its calculated density is 12.2 g cm⁻³.

Unit cell a=5.2260 b=5.2260 c=5.2260 alpha=148.61 beta=129.17 gamma=60.97
Closest atoms and distances in Å follow each position.
Element x y z (fractional)
Zn: 0.0017 0.0017 0.0000  2 Rh 2.64, 4 Zn 2.65-2.83, 4 Re 2.65
Zn: 0.7527 0.2527 0.5000  4 Zn 2.65-2.83, 4 Rh 2.65, 2 Re 2.71
Re: 0.4961 0.4961 0.0000  2 Rh 2.63, 6 Zn 2.65-2.71, 2 Re 2.83
Rh: 0.2495 0.7495 0.5000  2 Re 2.63, 6 Zn 2.64-2.65, 2 Rh 2.83

---

Sequential distance to the lowest polymorph of the same formula output: 0.196 0.126 0.086 0.164 0.101 0.186 0.308 0.298 0.214 0.230 0.124 0.000 0.141 0.219 0.187 eV/atom
Sequential calculated formation energy output: 0.116 0.046 0.006 0.142 0.021 0.106 0.228 0.023 0.192 -0.044 -0.151 -0.080 0.119 0.139 0.107 eV per atom